# 1
Below is an optimized crystal structure of SmPuPbO6, with properties calculated at the PBE level.

Cell: 5.9335 5.9335 9.9786 Å, 90.00 90.00 120.00°
Each line ends with the local moment (μB).
Fractional coordinates of all 18 atoms:
1 Sm 0.3333 0.6667 0.2500  0.00
2 Sm 0.6667 0.3333 0.7500  0.00
3 Pu 0.6667 0.3333 0.2500  1.39
4 Pu 0.3333 0.6667 0.7500  1.39
5 Pb 0.0000 0.0000 0.0000  -0.01
6 Pb 0.0000 0.0000 0.5000  -0.01
7 O 0.6540 0.6139 0.1409  -0.06
8 O 0.9599 0.3460 0.1409  -0.06
9 O 0.3460 0.9599 0.6409  -0.06
10 O 0.0401 0.6540 0.8591  -0.06
11 O 0.3861 0.3460 0.3591  -0.06
12 O 0.9599 0.6139 0.3591  -0.06
13 O 0.6139 0.9599 0.8591  -0.06
14 O 0.6540 0.0401 0.3591  -0.06
15 O 0.0401 0.3861 0.6409  -0.06
16 O 0.3861 0.0401 0.1409  -0.06
17 O 0.6139 0.6540 0.6409  -0.06
18 O 0.3460 0.3861 0.8591  -0.06

Output
- formation energy from raw total energies (eV/atom) = -2.37
- space-group type = P-31c (163)
- DFT total energy (eV/f.u.) = -73.9
- crystal system = trigonal

# 2
Below is an optimized crystal structure of Sm2PuPbO8, with properties calculated at the PBE level.

Cell: 3.8540 5.4604 7.9554 Å, 95.75 89.46 94.06°
Each line ends with the local moment (μB).
Fractional coordinates of all 12 atoms:
1 Sm 0.5043 0.4856 0.7491  0.00
2 Sm 0.4957 0.5144 0.2509  0.00
3 Pu 0.0000 0.0000 0.0000  2.52
4 Pb 0.0000 0.0000 0.5000  0.01
5 O 0.0255 0.7668 0.2587  -0.03
6 O 0.5405 0.7726 0.0189  -0.10
7 O 0.9655 0.2400 0.2001  -0.11
8 O 0.9745 0.2332 0.7413  -0.03
9 O 0.4595 0.2274 0.9811  -0.10
10 O 0.0345 0.7600 0.7999  -0.11
11 O 0.5367 0.7529 0.5275  -0.01
12 O 0.4633 0.2471 0.4725  -0.01

Output
- formation energy from raw total energies (eV/atom) = -2.48
- space-group type = P-1 (2)
- DFT total energy (eV/f.u.) = -96.8
- Fermi-level density of states (states/eV/atom) = 0.335
- crystal system = triclinic

# 3
Below is an optimized crystal structure of SrPu2PbO8, with properties calculated at the PBE level.

Cell: 5.5177 5.5177 6.5991 Å, 114.71 114.71 90.00°
Each line ends with the local moment (μB).
Fractional coordinates of all 12 atoms:
1 Sr 0.7500 0.2500 0.5000  -0.01
2 Pu 0.5000 0.5000 0.0000  3.21
3 Pu 0.2500 0.7500 0.5000  3.17
4 Pb 0.0000 0.0000 0.0000  -0.01
5 O 0.8776 0.8413 0.2462  -0.17
6 O 0.3686 0.4050 0.2462  -0.17
7 O 0.5948 0.6312 0.7535  -0.17
8 O 0.1587 0.1224 0.7535  -0.17
9 O 0.8776 0.4052 0.2465  -0.17
10 O 0.3688 0.8413 0.2465  -0.17
11 O 0.1587 0.6314 0.7538  -0.17
12 O 0.5950 0.1224 0.7538  -0.17

Output
- formation energy from raw total energies (eV/atom) = -2.26
- space-group type = I-4m2 (119)
- DFT total energy (eV/f.u.) = -100.9
- Fermi-level density of states (states/eV/atom) = 1.047
- crystal system = tetragonal

# 4
Below is an optimized crystal structure of SrPuPb2O8, with properties calculated at the PBE level.

Cell: 5.2689 5.2645 6.9835 Å, 90.00 90.00 89.40°
Each line ends with the local moment (μB).
Fractional coordinates of all 12 atoms:
1 Sr 0.0000 0.0000 0.5000  0.00
2 Pu 0.0000 0.0000 0.0000  1.86
3 Pb 0.5000 0.5000 0.7517  0.03
4 Pb 0.5000 0.5000 0.2483  0.03
5 O 0.1827 0.8158 0.2028  -0.08
6 O 0.6992 0.7006 0.0000  -0.02
7 O 0.8174 0.1843 0.2028  -0.08
8 O 0.8173 0.1842 0.7972  -0.08
9 O 0.3008 0.2994 0.0000  -0.02
10 O 0.1826 0.8157 0.7972  -0.08
11 O 0.6775 0.6804 0.5000  0.03
12 O 0.3225 0.3196 0.5000  0.03

Output
- formation energy from raw total energies (eV/atom) = -1.75
- space-group type = P2/m (10)
- DFT total energy (eV/f.u.) = -84.1
- Fermi-level density of states (states/eV/atom) = 0.267
- crystal system = monoclinic